This record from Alexandria describes an optimized crystal structure of NdSm2MgO. The functional is PBE.

The magnetization comes out at 0.00 Bohr magnetons per cell. The value obtained for the raw formation energy is -114 kJ per mole of atoms. The calculation puts the volume at 24.63 A^3/atom.

The structure belongs to space group P4/mmm (No. 123); the cell edges are 4.944, 4.944 and 5.040 Å and the angles 90.00°, 90.00° and 90.00°. The distinct sites, in fractional coordinates, are Nd at (0.000, 0.000, 0.000), Sm at (0.000, 0.500, 0.500), Mg at (0.500, 0.500, 0.000) and O at (0.000, 0.000, 0.500).